First-principles (PBE) data for an optimized crystal structure of TiWC2Cl, as listed in Alexandria.

a b c (Å): 3.9906 3.9906 5.3958
angles (deg): 90.00 90.00 90.00
Positions (direct):
1 Ti 0.0000 0.0000 0.0000
2 W 0.0000 0.0000 0.5000
3 C 0.0000 0.5000 0.5000
4 C 0.5000 0.0000 0.5000
5 Cl 0.5000 0.5000 0.0000

* energy relative to the elements, uncorrected: 1148.7 meV per atom
* DOS(E_F): 1.042 states/eV per atom
* final energy: -7.0798 eV/atom